[1]
# PBE PuGa2Au, relaxed
data_PuGa2Au
_symmetry_space_group_name_H-M 'P 1'
_symmetry_Int_Tables_number 1
_cell_length_a 4.3856
_cell_length_b 4.3334
_cell_length_c 4.3334
_cell_angle_alpha 90.00
_cell_angle_beta 90.00
_cell_angle_gamma 90.00
loop_
_symmetry_equiv_pos_as_xyz
'x,y,z'
loop_
_atom_site_label
_atom_site_fract_x
_atom_site_fract_y
_atom_site_fract_z
Ga1 0.0000 0.0000 0.5000
Ga2 0.0000 0.5000 0.0000
Au1 0.5000 0.0000 0.0000
Pu1 0.5000 0.5000 0.5000
# E (Ha/atom): -0.2281
# Total moment (Bohr magnetons per cell): 5.5
# ΔE_f (eV/atom): -0.291
# SG: P4/mmm (123)

[2]
# PBE Tb2PmPr2Ho, relaxed
data_Tb2PmPr2Ho
_symmetry_space_group_name_H-M 'P 1'
_symmetry_Int_Tables_number 1
_cell_length_a 5.7274
_cell_length_b 7.0542
_cell_length_c 9.9363
_cell_angle_alpha 90.00
_cell_angle_beta 90.00
_cell_angle_gamma 90.00
loop_
_symmetry_equiv_pos_as_xyz
'x,y,z'
loop_
_atom_site_label
_atom_site_fract_x
_atom_site_fract_y
_atom_site_fract_z
Ho1 0.5000 0.7575 0.3364
Ho2 0.5000 0.2575 0.6636
Tb1 0.5000 0.7576 0.6670
Tb2 0.5000 0.2576 0.3330
Tb3 0.0000 0.2576 0.8346
Tb4 0.0000 0.7576 0.1654
Pr1 0.0000 0.2577 0.1712
Pr2 0.5000 0.5076 0.9998
Pr3 0.0000 0.7577 0.8288
Pr4 0.5000 0.0076 0.0002
Pm1 0.0000 0.5075 0.5001
Pm2 0.0000 0.0076 0.4999
# E (Ha/atom): -0.1700
# Total moment (Bohr magnetons per cell): 0.0
# ΔE_f (eV/atom): 0.064
# SG: Pmma (51)

[3]
# PBE ScInTe2, relaxed
data_ScInTe2
_symmetry_space_group_name_H-M 'P 1'
_symmetry_Int_Tables_number 1
_cell_length_a 6.0113
_cell_length_b 6.0113
_cell_length_c 6.0113
_cell_angle_alpha 139.24
_cell_angle_beta 110.63
_cell_angle_gamma 83.70
loop_
_symmetry_equiv_pos_as_xyz
'x,y,z'
loop_
_atom_site_label
_atom_site_fract_x
_atom_site_fract_y
_atom_site_fract_z
In1 0.7500 0.2500 0.5000
Sc1 0.2500 0.7500 0.5000
Te1 0.0344 0.0344 0.0000
Te2 0.4656 0.4656 0.0000
# E (Ha/atom): -0.1588
# Total moment (Bohr magnetons per cell): 0.0
# Energy relative to the elements, uncorrected (eV per atom): -0.482
# SG: Immm (71)

[4]
# PBE La2CoTcPd, relaxed
data_La2CoTcPd
_symmetry_space_group_name_H-M 'P 1'
_symmetry_Int_Tables_number 1
_cell_length_a 5.4547
_cell_length_b 4.3213
_cell_length_c 5.4547
_cell_angle_alpha 90.00
_cell_angle_beta 90.00
_cell_angle_gamma 90.00
loop_
_symmetry_equiv_pos_as_xyz
'x,y,z'
loop_
_atom_site_label
_atom_site_fract_x
_atom_site_fract_y
_atom_site_fract_z
Tc1 0.0000 0.0000 0.0000
La1 0.0000 0.0000 0.5000
La2 0.5000 0.0000 0.0000
Co1 0.0000 0.5000 0.0000
Pd1 0.5000 0.5000 0.5000
# E (Ha/atom): -0.2307
# Total moment (Bohr magnetons per cell): 0.5
# ΔE_f (eV/atom): 0.226
# SG: P4/mmm (123)

[5]
# PBE ZnGa3O6, relaxed
data_ZnGa3O6
_symmetry_space_group_name_H-M 'P 1'
_symmetry_Int_Tables_number 1
_cell_length_a 2.9623
_cell_length_b 8.7793
_cell_length_c 8.4506
_cell_angle_alpha 112.15
_cell_angle_beta 90.00
_cell_angle_gamma 90.00
loop_
_symmetry_equiv_pos_as_xyz
'x,y,z'
loop_
_atom_site_label
_atom_site_fract_x
_atom_site_fract_y
_atom_site_fract_z
O1 0.2500 0.5744 0.4065
O2 0.7500 0.1031 0.4426
O3 0.7500 0.4023 0.0620
O4 0.2500 0.2680 0.7389
O5 0.7500 0.4256 0.5935
O6 0.2500 0.0724 0.9166
O7 0.2500 0.8969 0.5574
O8 0.7500 0.7546 0.7498
O9 0.7500 0.7320 0.2611
O10 0.2500 0.2454 0.2502
O11 0.2500 0.5977 0.9380
O12 0.7500 0.9276 0.0834
Ga1 0.2500 0.5560 0.1665
Ga2 0.2500 0.8256 0.9096
Ga3 0.2500 0.2796 0.4873
Ga4 0.7500 0.4440 0.8335
Ga5 0.7500 0.1744 0.0904
Ga6 0.7500 0.7204 0.5127
Zn1 0.2500 0.9240 0.3098
Zn2 0.7500 0.0760 0.6902
# E (Ha/atom): -0.2008
# Total moment (Bohr magnetons per cell): 2.1
# Energy relative to the elements, uncorrected (eV per atom): -1.454
# SG: P2_1/m (11)

[6]
# PBE CoSb2TeN, relaxed
data_CoSb2TeN
_symmetry_space_group_name_H-M 'P 1'
_symmetry_Int_Tables_number 1
_cell_length_a 4.8385
_cell_length_b 4.8385
_cell_length_c 4.9024
_cell_angle_alpha 90.00
_cell_angle_beta 90.00
_cell_angle_gamma 90.00
loop_
_symmetry_equiv_pos_as_xyz
'x,y,z'
loop_
_atom_site_label
_atom_site_fract_x
_atom_site_fract_y
_atom_site_fract_z
Sb1 0.0000 0.5000 0.0000
Sb2 0.5000 0.0000 0.0000
Co1 0.0000 0.0000 0.0000
Te1 0.0000 0.0000 0.5000
N1 0.5000 0.5000 0.5000
# E (Ha/atom): -0.1483
# Total moment (Bohr magnetons per cell): 0.0
# Energy relative to the elements, uncorrected (eV per atom): 1.329
# SG: P4/mmm (123)
# E above lowest polymorph (eV/f.u.): 2.04

[7]
# PBE CeHo3Fe, relaxed
data_CeHo3Fe
_symmetry_space_group_name_H-M 'P 1'
_symmetry_Int_Tables_number 1
_cell_length_a 5.2457
_cell_length_b 5.2457
_cell_length_c 5.2457
_cell_angle_alpha 90.00
_cell_angle_beta 90.00
_cell_angle_gamma 90.00
loop_
_symmetry_equiv_pos_as_xyz
'x,y,z'
loop_
_atom_site_label
_atom_site_fract_x
_atom_site_fract_y
_atom_site_fract_z
Ce1 0.5000 0.5000 0.5000
Fe1 0.0000 0.0000 0.0000
Ho1 0.0000 0.5000 0.0000
Ho2 0.0000 0.0000 0.5000
Ho3 0.5000 0.0000 0.0000
# E (Ha/atom): -0.2006
# Total moment (Bohr magnetons per cell): 1.7
# ΔE_f (eV/atom): 0.168
# SG: Pm-3m (221)

[8]
# PBE Ac3PaO6, relaxed
data_Ac3PaO6
_symmetry_space_group_name_H-M 'P 1'
_symmetry_Int_Tables_number 1
_cell_length_a 7.3383
_cell_length_b 7.3383
_cell_length_c 7.3383
_cell_angle_alpha 89.73
_cell_angle_beta 89.73
_cell_angle_gamma 89.73
loop_
_symmetry_equiv_pos_as_xyz
'x,y,z'
loop_
_atom_site_label
_atom_site_fract_x
_atom_site_fract_y
_atom_site_fract_z
O1 0.3012 0.8944 0.0491
O2 0.2057 0.5412 0.4192
O3 0.5808 0.7943 0.4588
O4 0.7943 0.4588 0.5808
O5 0.1056 0.9509 0.6988
O6 0.6988 0.1056 0.9509
O7 0.4192 0.2057 0.5412
O8 0.8944 0.0491 0.3012
O9 0.9509 0.6988 0.1056
O10 0.5412 0.4192 0.2057
O11 0.4588 0.5808 0.7943
O12 0.0491 0.3012 0.8944
Ac1 0.4684 0.9414 0.7556
Ac2 0.5316 0.0586 0.2444
Ac3 0.9414 0.7556 0.4684
Ac4 0.7556 0.4684 0.9414
Ac5 0.0586 0.2444 0.5316
Ac6 0.2444 0.5316 0.0586
Pa1 0.0000 0.0000 0.0000
Pa2 0.5000 0.5000 0.5000
# E (Ha/atom): -0.3086
# Total moment (Bohr magnetons per cell): 3.0
# Energy relative to the elements, uncorrected (eV per atom): -3.240
# SG: R-3 (148)

Record-wise D(E_F) values, in states/eV/f.u.: 12.192; 8.799; 0.797; 4.669; 3.863; 5.901; 11.594; 3.469